(1)
KSbO2: PBEsol geometry, meta-GGA SCAN.

The space group is I-42d (No. 122) and the conventional cell measures 5.7935, 5.7935 and 10.1290 Å, with angles of 90.00, 90.00 and 90.00 degrees. The asymmetric unit holds K at (0.0000, 0.0000, 0.0000), Sb at (0.0000, 0.0000, 0.5000) and O at (0.1664, 0.7500, 0.6250).

The value obtained for the raw formation energy is -119 kJ per mole of atoms. The theoretical density comes out at 3.77 g/cm³. The total energy comes out at -15.748 eV per atom.

(2)
BeSb4Cl: PBEsol geometry, meta-GGA SCAN.

The space group is F-43m (No. 216) and the conventional cell measures 8.5813, 8.5813 and 8.5813 Å, with angles of 90.00, 90.00 and 90.00 degrees. The asymmetric unit holds Be at (0.0000, 0.0000, 0.0000), Sb at (0.1213, 0.1213, 0.3787) and Cl at (0.2500, 0.2500, 0.7500).

The value obtained for the raw formation energy is 51 kJ per mole of atoms. The theoretical density comes out at 5.59 g/cm³. The total energy comes out at -26.363 eV per atom.